Model a:
A plane-wave DFT calculation with GGA-PBEsol was carried out for an optimized crystal structure of Os3C.

Unit cell a=7.531 b=7.531 c=7.531 alpha=20.97 beta=20.97 gamma=20.97
Positions (direct):
Os 0.000 0.000 0.000
Os 0.232 0.232 0.232
Os 0.768 0.768 0.768
C 0.500 0.500 0.500

Magnetic moment (μB per cell): 0.0
DOS at the Fermi energy (states/eV per cell): 3.171
Volume (Å³/f.u.): 48

Model b:
A plane-wave DFT calculation with GGA-PBEsol was carried out for an optimized crystal structure of Os3C.

Unit cell a=2.737 b=2.794 c=6.521 alpha=90.00 beta=90.00 gamma=90.00
Positions (direct):
Os 0.000 0.000 0.000
Os 0.000 0.500 0.383
Os 0.500 0.500 0.736
C 0.500 0.000 0.260

Magnetic moment (μB per cell): 0.0
DOS at the Fermi energy (states/eV per cell): 1.931
Volume (Å³/f.u.): 50

The least stable of them is model a.

Model a:
A plane-wave DFT calculation with GGA-PBEsol was carried out for an optimized crystal structure of Os3C.

Unit cell a=5.763 b=5.763 c=5.763 alpha=152.73 beta=145.32 gamma=44.67
Positions (direct):
Os 0.000 0.000 0.000
Os 0.317 0.317 0.000
Os 0.683 0.683 0.000
C 0.500 0.500 0.000

Magnetic moment (μB per cell): 0.0
DOS at the Fermi energy (states/eV per cell): 2.401
Volume (Å³/f.u.): 50

Model b:
A plane-wave DFT calculation with GGA-PBEsol was carried out for an optimized crystal structure of Os3C.

Unit cell a=2.777 b=2.777 c=7.147 alpha=90.00 beta=90.00 gamma=120.00
Positions (direct):
Os 0.000 0.000 0.000
Os 0.333 0.667 0.305
Os 0.333 0.667 0.695
C 0.000 0.000 0.500

Magnetic moment (μB per cell): 0.0
DOS at the Fermi energy (states/eV per cell): 1.908
Volume (Å³/f.u.): 48

The least stable of them is model a.

Model a:
A plane-wave DFT calculation with GGA-PBEsol was carried out for an optimized crystal structure of OsC.

Unit cell a=2.675 b=2.675 c=2.675 alpha=90.00 beta=90.00 gamma=90.00
Positions (direct):
Os 0.000 0.000 0.000
C 0.500 0.500 0.500

Magnetic moment (μB per cell): 0.0
DOS at the Fermi energy (states/eV per cell): 1.217
Volume (Å³/f.u.): 19

Model b:
A plane-wave DFT calculation with GGA-PBEsol was carried out for an optimized crystal structure of OsC.

Unit cell a=4.073 b=4.073 c=4.073 alpha=90.00 beta=90.00 gamma=90.00
Positions (direct):
Os 0.000 0.000 0.500
Os 0.000 0.500 0.000
Os 0.500 0.000 0.000
C 0.000 0.500 0.500
C 0.500 0.000 0.500
C 0.500 0.500 0.000

Magnetic moment (μB per cell): 0.0
DOS at the Fermi energy (states/eV per cell): 3.688
Volume (Å³/f.u.): 23

The least stable of them is model a.